The following is a DFT calculation (PBE-GGA) of a geometry-optimized MoP2W structure. Values from VASP.

Calculated values
**ΔH_f (0 K)**: -221.8 meV per atom
**E**: -8.873 eV per atom
**DOS(E_F)**: 2.5 states/eV/cell

Quantum ESPRESSO input file:
```
&SYSTEM
  ibrav = 0, nat = 4, ntyp = 3
/
ATOMIC_SPECIES
P 30.97 P.upf
W 183.84 W.upf
Mo 95.94 Mo.upf
CELL_PARAMETERS angstrom
0.000 3.012 3.012
3.012 0.000 3.012
3.012 3.012 0.000
ATOMIC_POSITIONS crystal
P 0.750 0.750 0.750
W 0.500 0.500 0.500
P 0.250 0.250 0.250
Mo 0.000 0.000 0.000
```